(1)
The following is a PBE calculation of Sm6AlTl2 after structural relaxation, from the Alexandria database.

abc: 8.3779 8.3779 4.5255
angles: 90.00 90.00 120.00
Space group P-62m (No. 189)
Symmetry-distinct sites (fractional):
Sm1 0.0000 0.2573 0.0000 [3 per cell]
Sm2 0.0000 0.5979 0.5000 [3 per cell]
Al1 0.0000 0.0000 0.5000 [1 per cell]
Tl1 0.3333 0.6667 0.0000 [2 per cell]

Computed properties:
calculated density: 8.076 g cm⁻³
total magnetic moment: 2.30 μB per formula unit
volume: 30.56 Å³ per atom
formation energy from the elements: -0.238 eV per atom
D(E_F): 11.94 states/eV per cell



(2)
The following is a PBE calculation of VFeS3 after structural relaxation, from the Alexandria database.

abc: 4.459 4.459 4.459
angles: 90.00 90.00 90.00
Space group Pm-3m (No. 221)
Symmetry-distinct sites (fractional):
V1 0.000 0.000 0.000 [1 per cell]
Fe1 0.500 0.500 0.500 [1 per cell]
S1 0.000 0.500 0.500 [3 per cell]

Computed properties:
relative energy among the computed polymorphs: 114 meV per atom
calculated density: 3.803 g cm⁻³
total magnetic moment: 5.04 μB per formula unit
volume: 17.73 Å³ per atom
D(E_F): 5.46 states/eV per cell



(3)
The following is a PBE calculation of PrNd6Dy2Ho3 after structural relaxation, from the Alexandria database.

abc: 6.288 10.890 11.924
angles: 90.00 100.09 90.00
Space group C2/m (No. 12)
Symmetry-distinct sites (fractional):
Pr1 0.000 0.000 0.000 [2 per cell]
Nd1 0.249 0.333 0.748 [8 per cell]
Nd2 0.250 0.000 0.748 [4 per cell]
Dy1 0.000 0.333 0.000 [4 per cell]
Ho1 0.000 0.167 0.500 [4 per cell]
Ho2 0.000 0.500 0.500 [2 per cell]

Computed properties:
calculated density: 7.545 g cm⁻³
total magnetic moment: 0.00 μB per formula unit
volume: 33.49 Å³ per atom
formation energy from the elements: 0.014 eV per atom
D(E_F): 29.00 states/eV per cell



(4)
The following is a PBE calculation of Ce2ZnAu8 after structural relaxation, from the Alexandria database.

abc: 14.965 5.028 6.838
angles: 90.00 116.79 90.00
Space group C2/m (No. 12)
Symmetry-distinct sites (fractional):
Ce1 0.209 0.000 0.207 [4 per cell]
Zn1 0.000 0.500 0.500 [2 per cell]
Au1 0.000 0.000 0.215 [4 per cell]
Au2 0.119 0.500 0.913 [4 per cell]
Au3 0.122 0.500 0.329 [4 per cell]
Au4 0.161 0.000 0.659 [4 per cell]

Computed properties:
calculated density: 13.892 g cm⁻³
total magnetic moment: 1.41 μB per formula unit
volume: 20.88 Å³ per atom
formation energy from the elements: -0.429 eV per atom
D(E_F): 25.54 states/eV per cell



(5)
The following is a PBE calculation of ErSN after structural relaxation, from the Alexandria database.

abc: 3.841 5.343 6.543
angles: 66.05 79.30 89.98
Space group P-1 (No. 2)
Symmetry-distinct sites (fractional):
Er1 0.194 0.156 0.189 [2 per cell]
S1 0.193 0.676 0.150 [2 per cell]
N1 0.355 0.966 0.567 [2 per cell]

Computed properties:
relative energy among the computed polymorphs: 0 meV per atom
calculated density: 5.896 g cm⁻³
total magnetic moment: 0.00 μB per formula unit
volume: 20.03 Å³ per atom
D(E_F): 1.90 states/eV per cell



(6)
The following is a PBE calculation of PmInSn4 after structural relaxation, from the Alexandria database.

abc: 8.783 8.783 8.783
angles: 90.00 90.00 90.00
Space group F-43m (No. 216)
Symmetry-distinct sites (fractional):
Pm1 0.000 0.000 0.000 [4 per cell]
In1 0.250 0.250 0.750 [4 per cell]
Sn1 0.125 0.125 0.375 [16 per cell]

Computed properties:
relative energy among the computed polymorphs: 19 meV per atom
calculated density: 7.202 g cm⁻³
total magnetic moment: 0.00 μB per formula unit
volume: 28.23 Å³ per atom
formation energy from the elements: -0.187 eV per atom
D(E_F): 14.93 states/eV per cell



(7)
The following is a PBE calculation of Pt2NF after structural relaxation, from the Alexandria database.

abc: 5.655 5.655 7.457
angles: 90.00 90.00 90.00
Space group I-42d (No. 122)
Symmetry-distinct sites (fractional):
Pt1 0.168 0.750 0.125 [8 per cell]
N1 0.000 0.000 0.000 [4 per cell]
F1 0.000 0.000 0.500 [4 per cell]

Computed properties:
relative energy among the computed polymorphs: 0 meV per atom
calculated density: 11.787 g cm⁻³
total magnetic moment: 0.00 μB per formula unit
volume: 14.90 Å³ per atom
D(E_F): 2.08 states/eV per cell



(8)
The following is a PBE calculation of KCdAg2 after structural relaxation, from the Alexandria database.

abc: 9.677 3.120 7.056
angles: 90.00 96.70 90.00
Space group C2/m (No. 12)
Symmetry-distinct sites (fractional):
K1 0.000 0.000 0.000 [2 per cell]
Cd1 0.000 0.500 0.500 [2 per cell]
Ag1 0.236 0.000 0.672 [4 per cell]

Computed properties:
relative energy among the computed polymorphs: 110 meV per atom
calculated density: 5.765 g cm⁻³
total magnetic moment: 0.00 μB per formula unit
volume: 26.44 Å³ per atom
formation energy from the elements: 0.074 eV per atom
D(E_F): 1.75 states/eV per cell



(9)
The following is a PBE calculation of BP3RhC after structural relaxation, from the Alexandria database.

abc: 3.704 4.453 5.415
angles: 109.08 101.22 91.55
Space group P1 (No. 1)
Symmetry-distinct sites (fractional):
B1 0.000 0.000 0.000 [1 per cell]
P1 0.253 0.746 0.730 [1 per cell]
P2 0.733 0.685 0.107 [1 per cell]
P3 0.928 0.281 0.612 [1 per cell]
Rh1 0.320 0.943 0.397 [1 per cell]
C1 0.891 0.302 0.945 [1 per cell]

Computed properties:
relative energy among the computed polymorphs: 124 meV per atom
calculated density: 4.406 g cm⁻³
total magnetic moment: 0.00 μB per formula unit
volume: 13.73 Å³ per atom
formation energy from the elements: 0.143 eV per atom
D(E_F): 2.23 states/eV per cell



(10)
The following is a PBE calculation of La4RuSeI2 after structural relaxation, from the Alexandria database.

abc: 7.761 4.233 8.286
angles: 90.00 105.91 90.00
Space group P2/m (No. 10)
Symmetry-distinct sites (fractional):
La1 0.209 0.000 0.191 [2 per cell]
La2 0.246 0.500 0.805 [2 per cell]
Ru1 0.000 0.500 0.000 [1 per cell]
Se1 0.500 0.000 0.000 [1 per cell]
I1 0.000 0.000 0.500 [1 per cell]
I2 0.500 0.500 0.500 [1 per cell]

Computed properties:
calculated density: 6.276 g cm⁻³
total magnetic moment: 0.00 μB per formula unit
volume: 32.72 Å³ per atom
energy: -5.594 eV/atom
D(E_F): 6.98 states/eV per cell



(11)
The following is a PBE calculation of DyHo after structural relaxation, from the Alexandria database.

abc: 3.491 5.474 6.759
angles: 90.00 104.94 90.00
Space group P2_1/m (No. 11)
Symmetry-distinct sites (fractional):
Dy1 0.173 0.250 0.346 [2 per cell]
Ho1 0.436 0.250 0.870 [2 per cell]

Computed properties:
relative energy among the computed polymorphs: 38 meV per atom
calculated density: 8.713 g cm⁻³
total magnetic moment: 0.00 μB per formula unit
volume: 31.20 Å³ per atom
formation energy from the elements: 0.043 eV per atom
D(E_F): 6.76 states/eV per cell



(12)
The following is a PBE calculation of Tb5Tl2Ni after structural relaxation, from the Alexandria database.

abc: 7.403 12.370 4.771
angles: 90.00 90.00 90.00
Space group Pbam (No. 55)
Symmetry-distinct sites (fractional):
Tb1 0.000 0.000 0.000 [2 per cell]
Tb2 0.124 0.294 0.000 [4 per cell]
Tb3 0.179 0.577 0.500 [4 per cell]
Tl1 0.097 0.836 0.500 [4 per cell]
Ni1 0.000 0.500 0.000 [2 per cell]

Computed properties:
relative energy among the computed polymorphs: 0 meV per atom
calculated density: 9.593 g cm⁻³
total magnetic moment: 0.00 μB per formula unit
volume: 27.31 Å³ per atom
formation energy from the elements: -0.292 eV per atom
D(E_F): 17.27 states/eV per cell



(13)
The following is a PBE calculation of CaLaPrSn after structural relaxation, from the Alexandria database.

abc: 5.917 5.917 7.386
angles: 90.00 90.00 90.00
Space group P4/nmm (No. 129, origin choice 2)
Symmetry-distinct sites (fractional):
Ca1 0.250 0.750 0.000 [2 per cell]
La1 0.250 0.750 0.500 [2 per cell]
Pr1 0.250 0.250 0.295 [2 per cell]
Sn1 0.250 0.250 0.755 [2 per cell]

Computed properties:
relative energy among the computed polymorphs: 66 meV per atom
calculated density: 5.632 g cm⁻³
total magnetic moment: 0.77 μB per formula unit
volume: 32.33 Å³ per atom
formation energy from the elements: -0.246 eV per atom
D(E_F): 9.56 states/eV per cell



(14)
The following is a PBE calculation of MgTc2Ag after structural relaxation, from the Alexandria database.

abc: 2.647 2.647 9.098
angles: 90.00 90.00 90.00
Space group P4/mmm (No. 123)
Symmetry-distinct sites (fractional):
Mg1 0.000 0.000 0.000 [1 per cell]
Tc1 0.500 0.500 0.246 [2 per cell]
Ag1 0.000 0.000 0.500 [1 per cell]

Computed properties:
calculated density: 8.548 g cm⁻³
total magnetic moment: 0.00 μB per formula unit
volume: 15.94 Å³ per atom
formation energy from the elements: 0.429 eV per atom
D(E_F): 3.23 states/eV per cell



(15)
The following is a PBE calculation of SmHo6Sc12 after structural relaxation, from the Alexandria database.

abc: 10.4123 10.4123 16.4439
angles: 90.00 90.00 120.00
Space group R-3m (No. 166, hexagonal axes)
Symmetry-distinct sites (fractional):
Sm1 0.0000 0.0000 0.0000 [3 per cell]
Ho1 0.0633 0.5316 0.7702 [18 per cell]
Sc1 0.1037 0.5519 0.4132 [18 per cell]
Sc2 0.1046 0.2091 0.4033 [18 per cell]

Computed properties:
calculated density: 5.419 g cm⁻³
total magnetic moment: 0.00 μB per formula unit
volume: 27.09 Å³ per atom
formation energy from the elements: 0.157 eV per atom
D(E_F): 83.21 states/eV per cell



(16)
The following is a PBE calculation of Pr2SmEr2Tm after structural relaxation, from the Alexandria database.

abc: 7.045 5.675 9.824
angles: 90.00 90.00 90.00
Space group Pmma (No. 51)
Symmetry-distinct sites (fractional):
Pr1 0.000 0.000 0.000 [2 per cell]
Pr2 0.250 0.500 0.180 [2 per cell]
Sm1 0.250 0.000 0.656 [2 per cell]
Er1 0.250 0.000 0.331 [2 per cell]
Er2 0.250 0.500 0.836 [2 per cell]
Tm1 0.000 0.500 0.500 [2 per cell]

Computed properties:
calculated density: 7.911 g cm⁻³
total magnetic moment: 0.00 μB per formula unit
volume: 32.73 Å³ per atom
formation energy from the elements: 0.065 eV per atom
D(E_F): 18.22 states/eV per cell



(17)
The following is a PBE calculation of DyGe2Ru after structural relaxation, from the Alexandria database.

abc: 4.236 9.083 15.950
angles: 90.00 90.00 90.00
Space group Immm (No. 71)
Symmetry-distinct sites (fractional):
Dy1 0.000 0.000 0.209 [4 per cell]
Dy2 0.000 0.242 0.000 [4 per cell]
Ge1 0.000 0.000 0.419 [4 per cell]
Ge2 0.000 0.342 0.200 [8 per cell]
Ge3 0.000 0.500 0.421 [4 per cell]
Ru1 0.000 0.249 0.357 [8 per cell]

Computed properties:
calculated density: 8.850 g cm⁻³
total magnetic moment: 0.00 μB per formula unit
volume: 19.18 Å³ per atom
formation energy from the elements: -0.634 eV per atom
D(E_F): 19.81 states/eV per cell



(18)
The following is a PBE calculation of La2Ga7Pt after structural relaxation, from the Alexandria database.

abc: 4.388 4.388 10.583
angles: 90.00 90.00 90.00
Space group P-4m2 (No. 115)
Symmetry-distinct sites (fractional):
La1 0.000 0.500 0.245 [2 per cell]
Ga1 0.000 0.000 0.000 [1 per cell]
Ga2 0.000 0.000 0.500 [1 per cell]
Ga3 0.000 0.500 0.636 [2 per cell]
Ga4 0.000 0.500 0.873 [2 per cell]
Ga5 0.500 0.500 0.500 [1 per cell]
Pt1 0.500 0.500 0.000 [1 per cell]

Computed properties:
calculated density: 7.831 g cm⁻³
total magnetic moment: 0.00 μB per formula unit
volume: 20.38 Å³ per atom
formation energy from the elements: -0.643 eV per atom
D(E_F): 4.87 states/eV per cell



(19)
The following is a PBE calculation of HfTi3V after structural relaxation, from the Alexandria database.

abc: 4.573 4.573 4.573
angles: 90.00 90.00 90.00
Space group Pm-3m (No. 221)
Symmetry-distinct sites (fractional):
Hf1 0.000 0.000 0.000 [1 per cell]
Ti1 0.000 0.500 0.500 [3 per cell]
V1 0.500 0.500 0.500 [1 per cell]

Computed properties:
relative energy among the computed polymorphs: 357 meV per atom
calculated density: 6.477 g cm⁻³
total magnetic moment: 0.00 μB per formula unit
volume: 19.13 Å³ per atom
formation energy from the elements: 0.551 eV per atom
D(E_F): 6.92 states/eV per cell



(20)
The following is a PBE calculation of Sr5PbI5 after structural relaxation, from the Alexandria database.

abc: 15.325 6.736 9.658
angles: 90.00 108.66 90.00
Space group C2/m (No. 12)
Symmetry-distinct sites (fractional):
Sr1 0.000 0.000 0.000 [2 per cell]
Sr2 0.154 0.500 0.316 [4 per cell]
Sr3 0.156 0.500 0.843 [4 per cell]
Pb1 0.000 0.500 0.000 [2 per cell]
I1 0.000 0.500 0.500 [2 per cell]
I2 0.168 0.000 0.826 [4 per cell]
I3 0.182 0.000 0.342 [4 per cell]

Computed properties:
calculated density: 4.499 g cm⁻³
total magnetic moment: 0.00 μB per formula unit
volume: 42.94 Å³ per atom
energy: -3.075 eV/atom
D(E_F): 8.39 states/eV per cell